Entry 1:
A plane-wave DFT calculation with PBE was carried out for a geometry-optimized V7SiB5 structure.

Cell lengths 4.435, 5.994, 5.994 Å; angles 88.75, 68.29, 68.29 degrees
Sites, in units of the cell vectors:
V  0.612  0.388  0.388
V  0.275  0.725  0.725
V  0.987  0.341  0.685
V  0.987  0.685  0.341
V  0.272  0.228  0.228
V  0.551  0.783  0.114
V  0.551  0.114  0.783
Si  0.944  0.056  0.056
B  0.465  0.010  0.468
B  0.057  0.010  0.468
B  0.465  0.468  0.010
B  0.057  0.468  0.010
B  0.776  0.724  0.724

Values from the calculation:
energy relative to the elements, uncorrected = -4.996 kcal/mol of atoms
D(E_F) = 0.7529 states/eV per atom

***

Entry 2:
A plane-wave DFT calculation with PBE was carried out for a geometry-optimized V6SiB2 structure.

Cell lengths 6.480, 6.480, 6.480 Å; angles 102.44, 110.36, 115.89 degrees
Sites, in units of the cell vectors:
V  0.510  0.711  0.799
V  0.490  0.289  0.201
V  0.088  0.289  0.799
V  0.912  0.711  0.201
V  0.777  0.753  0.530
V  0.223  0.247  0.470
V  0.223  0.753  0.975
V  0.777  0.247  0.025
V  0.705  0.388  0.683
V  0.295  0.612  0.317
V  0.295  0.978  0.683
V  0.705  0.022  0.317
Si  0.000  0.500  0.500
Si  0.000  0.000  0.000
B  0.500  0.391  0.891
B  0.500  0.609  0.109
B  0.624  0.000  0.624
B  0.376  0.000  0.376

Values from the calculation:
energy relative to the elements, uncorrected = -11.411 kcal/mol of atoms
D(E_F) = 0.6164 states/eV per atom

***

Entry 3:
A plane-wave DFT calculation with PBE was carried out for a geometry-optimized V3SiB structure.

Cell lengths 3.999, 3.999, 3.999 Å; angles 90.00, 90.00, 90.00 degrees
Sites, in units of the cell vectors:
Si  0.500  0.500  0.500
B  0.000  0.000  0.000
V  0.000  0.500  0.000
V  0.000  0.000  0.500
V  0.500  0.000  0.000

Values from the calculation:
energy relative to the elements, uncorrected = -2.322 kcal/mol of atoms
D(E_F) = 1.0374 states/eV per atom
polymorph energy (0 for the lowest one) = 166.7 meV/atom

***

Entry 4:
A plane-wave DFT calculation with PBE was carried out for a geometry-optimized Zr2VSiB structure.

Cell lengths 4.580, 4.004, 4.580 Å; angles 90.00, 90.00, 90.00 degrees
Sites, in units of the cell vectors:
Si  0.500  0.500  0.500
B  0.000  0.000  0.000
Zr  0.000  0.000  0.500
Zr  0.500  0.000  0.000
V  0.000  0.500  0.000

Values from the calculation:
energy relative to the elements, uncorrected = -6.176 kcal/mol of atoms
D(E_F) = 0.2462 states/eV per atom

***

What did the fourth record say?
A plane-wave DFT calculation with PBE was carried out for a geometry-optimized Zr2VSiB structure.

Cell lengths 4.580, 4.004, 4.580 Å; angles 90.00, 90.00, 90.00 degrees
Sites, in units of the cell vectors:
Si  0.500  0.500  0.500
B  0.000  0.000  0.000
Zr  0.000  0.000  0.500
Zr  0.500  0.000  0.000
V  0.000  0.500  0.000

Values from the calculation:
energy relative to the elements, uncorrected = -6.176 kcal/mol of atoms
D(E_F) = 0.2462 states/eV per atom

***

> What is the D(E_F) in the third record?

1.0374 states/eV per atom

***

> The highest energy relative to the elements, uncorrected belongs to which entry?

V3SiB